[1]
Computed, not measured: CsK4Au2 after structural relaxation at the PBE-GGA level of DFT.

Cell: 5.8873 5.8873 12.3574 Å, 76.22 76.22 60.00°
Fractional coordinates of all 7 atoms:
1 K 0.0861 0.0861 0.7416
2 Cs 0.5000 0.5000 0.5000
3 K 0.3011 0.3011 0.0968
4 K 0.6989 0.6989 0.9032
5 K 0.9139 0.9139 0.2584
6 Au 0.6050 0.6050 0.1849
7 Au 0.3950 0.3950 0.8151

Results
The calculation puts the formation energy at -0.164 eV per atom. The calculation puts the energy above the most stable polymorph in this dataset at 14.1 meV per atom.

***

[2]
Computed, not measured: Ni5SbAu after structural relaxation at the PBE-GGA level of DFT.

Cell: 3.7114 3.7114 7.2361 Å, 90.00 90.00 90.00°
Fractional coordinates of all 7 atoms:
1 Ni 0.5000 0.0000 0.2494
2 Au 0.0000 0.0000 0.5000
3 Ni 0.0000 0.5000 0.2494
4 Ni 0.5000 0.0000 0.7506
5 Ni 0.0000 0.0000 0.0000
6 Ni 0.0000 0.5000 0.7506
7 Sb 0.5000 0.5000 0.0000

***

[3]
Computed, not measured: Pa2Al3Ni after structural relaxation at the PBE-GGA level of DFT.

Cell: 5.5609 5.5609 8.2502 Å, 90.00 90.00 120.00°
Fractional coordinates of all 12 atoms:
1 Al 0.1640 0.8360 0.2500
2 Pa 0.3333 0.6667 0.5833
3 Pa 0.6667 0.3333 0.4167
4 Al 0.8360 0.1640 0.7500
5 Al 0.3280 0.1640 0.7500
6 Al 0.1640 0.3280 0.2500
7 Al 0.8360 0.6720 0.7500
8 Al 0.6720 0.8360 0.2500
9 Pa 0.6667 0.3333 0.0833
10 Pa 0.3333 0.6667 0.9167
11 Ni 0.0000 0.0000 0.0000
12 Ni 0.0000 0.0000 0.5000

Results
The calculation puts the formation energy at -0.379 eV per atom.

***

[4]
Computed, not measured: La2CdCo after structural relaxation at the PBE-GGA level of DFT.

Cell: 3.6396 3.7627 8.0442 Å, 70.87 90.00 90.00°
Fractional coordinates of all 4 atoms:
1 Cd 0.5000 0.2500 0.2500
2 La 0.0000 0.9545 0.9574
3 Co 0.5000 0.7500 0.7500
4 La 0.0000 0.5455 0.5426

Results
The calculation puts the formation energy at -0.158 eV per atom.

***

[5]
Computed, not measured: CdPtW2 after structural relaxation at the PBE-GGA level of DFT.

Cell: 9.8261 9.8261 9.8261 Å, 16.62 16.62 16.62°
Fractional coordinates of all 4 atoms:
1 W 0.2534 0.2534 0.2534
2 Cd 0.4978 0.4978 0.4978
3 Pt 0.7458 0.7458 0.7458
4 W 0.0030 0.0030 0.0030

Results
The calculation puts the formation energy at 0.205 eV per atom.

***

[6]
Computed, not measured: K5TiO4 after structural relaxation at the PBE-GGA level of DFT.

Cell: 6.2542 9.2137 7.9096 Å, 90.00 90.00 90.00°
Fractional coordinates of all 20 atoms:
1 O 0.6144 0.5000 0.6935
2 O 0.0483 0.8336 0.0000
3 K 0.7458 0.1832 0.2454
4 O 0.3856 0.0000 0.8065
5 K 0.2542 0.6832 0.2546
6 O 0.3856 0.0000 0.1935
7 K 0.2303 0.0000 0.5000
8 Ti 0.2171 0.0000 0.0000
9 K 0.7458 0.1832 0.7546
10 O 0.0483 0.1664 0.0000
11 Ti 0.7829 0.5000 0.5000
12 K 0.2542 0.3168 0.2546
13 K 0.2542 0.3168 0.7454
14 K 0.7458 0.8168 0.7546
15 K 0.7697 0.5000 0.0000
16 O 0.9517 0.3336 0.5000
17 O 0.9517 0.6664 0.5000
18 K 0.2542 0.6832 0.7454
19 O 0.6144 0.5000 0.3065
20 K 0.7458 0.8168 0.2454

***

[7]
Computed, not measured: MgScH6Ir2 after structural relaxation at the PBE-GGA level of DFT.

Cell: 4.5223 4.5223 5.6328 Å, 66.33 66.33 60.00°
Fractional coordinates of all 10 atoms:
1 Sc 0.0000 0.0000 0.0000
2 H 0.5578 0.5573 0.8351
3 Ir 0.7901 0.7901 0.6298
4 H 0.0498 0.5578 0.8351
5 H 0.4422 0.4427 0.1649
6 Ir 0.2099 0.2099 0.3702
7 H 0.9502 0.4422 0.1649
8 H 0.5573 0.0498 0.8351
9 H 0.4427 0.9502 0.1649
10 Mg 0.5000 0.5000 0.5000

***

[8]
Computed, not measured: LiHg2Mo after structural relaxation at the PBE-GGA level of DFT.

Cell: 2.8424 2.8424 9.3523 Å, 90.00 90.00 96.76°
Fractional coordinates of all 4 atoms:
1 Hg 0.0000 0.0000 0.9796
2 Hg 0.5000 0.5000 0.2791
3 Mo 0.5000 0.5000 0.7378
4 Li 0.0000 0.0000 0.5036

Results
The calculation puts the formation energy at 0.352 eV per atom. The calculation puts the energy above the most stable polymorph in this dataset at 160.4 meV per atom.

***

[9]
Computed, not measured: TcRu2Se after structural relaxation at the PBE-GGA level of DFT.

Cell: 5.1943 5.1943 5.1943 Å, 146.90 129.87 61.39°
Fractional coordinates of all 4 atoms:
1 Ru 0.7206 0.2206 0.5000
2 Se 0.5001 0.5001 0.0000
3 Tc 0.2771 0.7771 0.5000
4 Ru 0.0022 0.0022 0.0000

***

[10]
Computed, not measured: Ac5Cd2Bi after structural relaxation at the PBE-GGA level of DFT.

Cell: 9.2544 9.2544 9.6275 Å, 118.73 118.73 90.00°
Fractional coordinates of all 16 atoms:
1 Ac 0.5079 0.6966 0.7045
2 Ac 0.3034 0.8034 0.2955
3 Cd 0.1375 0.3625 0.0000
4 Ac 0.4921 0.3034 0.2955
5 Ac 0.5000 0.5000 0.0000
6 Cd 0.8625 0.6375 0.0000
7 Ac 0.1966 0.0079 0.7045
8 Ac 0.0000 0.0000 0.0000
9 Ac 0.9921 0.4921 0.2955
10 Cd 0.3625 0.8625 0.0000
11 Cd 0.6375 0.1375 0.0000
12 Ac 0.6966 0.1966 0.7045
13 Ac 0.0079 0.5079 0.7045
14 Bi 0.7500 0.7500 0.5000
15 Ac 0.8034 0.9921 0.2955
16 Bi 0.2500 0.2500 0.5000

Results
The calculation puts the formation energy at -0.357 eV per atom.

***

[11]
Computed, not measured: RbZnAu2 after structural relaxation at the PBE-GGA level of DFT.

Cell: 4.6810 4.6810 6.7082 Å, 69.58 69.58 60.00°
Fractional coordinates of all 4 atoms:
1 Rb 0.5000 0.5000 0.5000
2 Zn 0.0000 0.0000 0.0000
3 Au 0.3155 0.3155 0.0536
4 Au 0.6845 0.6845 0.9464

Results
The calculation puts the formation energy at -0.265 eV per atom.

***

[12]
Computed, not measured: BeIn2Cu after structural relaxation at the PBE-GGA level of DFT.

Cell: 3.0198 3.0198 7.9400 Å, 90.00 90.00 90.00°
Fractional coordinates of all 4 atoms:
1 Cu 0.5000 0.5000 0.6832
2 In 0.5000 0.5000 0.3114
3 In 0.0000 0.0000 0.9393
4 Be 0.0000 0.0000 0.5661

Results
The calculation puts the formation energy at 0.213 eV per atom.

***

Which magnetic moment belongs to each record? In order, 0.000, 1.361, 0.000, 0.000, 0.000, 0.546, 0.000, 0.000, 0.000, 0.000, 0.000, 0.000 μB/f.u..
Which E belongs to each record? In order, -1.849, -5.092, -6.379, -4.627, -8.011, -5.072, -4.879, -2.985, -7.843, -3.638, -2.465, -3.112 eV per atom.
Which V belongs to each record? In order, 356.6, 99.7, 220.9, 104.1, 67.7, 455.8, 88.4, 75.0, 58.2, 604.8, 116.5, 72.4 Å³/cell.